This record from Alexandria via LeMat-Bulk describes a geometry-optimized Ca5Pt2Au structure. The functional is GGA-PBE.

Values from the calculation:
The final energy comes out at -3.9773 eV per atom. The total moment is 0.00 μB per formula unit. For the formation energy, the calculation gives -806 meV per atom.

```
Ca5Pt2Au
1.0
-3.872 3.872 7.123
3.872 -3.872 7.123
3.872 3.872 -7.123
Ca Pt Au
10 4 2
Direct
0.000 0.000 0.000
0.032 0.532 0.839
0.194 0.032 0.500
0.306 0.806 0.839
0.468 0.306 0.500
0.500 0.500 0.000
0.532 0.694 0.500
0.694 0.194 0.161
0.806 0.968 0.500
0.968 0.468 0.161
0.129 0.371 0.500
0.371 0.871 0.243
0.629 0.129 0.757
0.871 0.629 0.500
0.250 0.250 0.000
0.750 0.750 0.000
```